# 1
MnS | GGA-PBE | relaxed

Computed properties:
The calculation puts the raw formation energy at -0.267 eV per atom.

Unit cell a=3.524 b=3.524 c=3.524 alpha=60.00 beta=60.00 gamma=60.00
Each line ends with the local moment (μB).
Atoms (fractional coordinates):
S (0.250, 0.250, 0.250)  -0.01
Mn (0.000, 0.000, 0.000)  0.21


# 2
LaTb5CePr2 | GGA-PBE | relaxed

Computed properties:
For the total energy, the calculation gives -82.495 eV/cell.

Unit cell a=8.731 b=8.731 c=10.036 alpha=115.78 beta=115.78 gamma=90.00
Each line ends with the local moment (μB).
Atoms (fractional coordinates):
La (0.250, 0.250, 0.500)  0.01
La (0.750, 0.750, 0.500)  0.01
Tb (0.937, 0.437, 0.278)  0.06
Tb (0.658, 0.158, 0.722)  0.06
Tb (0.063, 0.563, 0.722)  0.06
Tb (0.158, 0.063, 0.722)  0.06
Tb (0.563, 0.658, 0.722)  0.06
Tb (0.842, 0.937, 0.278)  0.06
Tb (0.437, 0.342, 0.278)  0.06
Tb (0.342, 0.842, 0.278)  0.06
Tb (0.500, 0.500, 0.000)  -0.03
Tb (0.000, 0.000, 0.000)  -0.03
Ce (0.250, 0.750, 0.500)  0.79
Ce (0.750, 0.250, 0.500)  0.79
Pr (0.121, 0.379, 0.000)  -0.01
Pr (0.621, 0.121, 0.000)  -0.01
Pr (0.379, 0.879, 0.000)  -0.01
Pr (0.879, 0.621, 0.000)  -0.01


# 3
Ta3VBi | GGA-PBE | relaxed

Computed properties:
The distance to the lowest polymorph of the same formula comes out at 0.00 eV/f.u.

Unit cell a=4.747 b=4.747 c=4.747 alpha=90.00 beta=90.00 gamma=90.00
Atoms (fractional coordinates):
Ta (0.000, 0.500, 0.000)
Ta (0.000, 0.000, 0.500)
Ta (0.500, 0.000, 0.000)
Bi (0.500, 0.500, 0.500)
V (0.000, 0.000, 0.000)


# 4
Sm6AsSe2S3 | GGA-PBE | relaxed

Computed properties:
The calculation puts the raw formation energy at -1.894 eV per atom.

Unit cell a=4.081 b=8.242 c=9.171 alpha=103.05 beta=102.86 gamma=90.00
Atoms (fractional coordinates):
Sm (0.333, 0.931, 0.665)
Sm (0.661, 0.596, 0.322)
Sm (0.667, 0.069, 0.335)
Sm (0.996, 0.252, 0.993)
Sm (0.004, 0.748, 0.007)
Sm (0.339, 0.404, 0.678)
As (0.500, 0.000, 0.000)
Se (0.832, 0.664, 0.664)
Se (0.168, 0.336, 0.336)
S (0.500, 0.500, 0.000)
S (0.833, 0.166, 0.665)
S (0.167, 0.834, 0.335)


# 5
Pu2Al3GaAu4 | GGA-PBE | relaxed

Computed properties:
For the total energy, the calculation gives -60.809 eV/cell.

Unit cell a=4.383 b=4.383 c=10.611 alpha=90.00 beta=90.00 gamma=90.00
Each line ends with the local moment (μB).
Atoms (fractional coordinates):
Pu (0.500, 0.000, 0.250)  5.33
Pu (0.000, 0.500, 0.750)  5.33
Al (0.000, 0.000, 0.500)  -0.01
Al (0.500, 0.000, 0.869)  -0.01
Al (0.000, 0.500, 0.131)  -0.01
Ga (0.500, 0.500, 0.500)  -0.01
Au (0.500, 0.500, 0.000)  0.00
Au (0.000, 0.000, 0.000)  0.00
Au (0.500, 0.000, 0.634)  0.00
Au (0.000, 0.500, 0.366)  0.00


# 6
PmHo6Tl5 | GGA-PBE | relaxed

Computed properties:
The distance to the lowest polymorph of the same formula comes out at 0.00 eV/f.u.

Unit cell a=5.026 b=8.741 c=9.139 alpha=118.57 beta=105.96 gamma=90.00
Atoms (fractional coordinates):
Tl (0.649, 0.149, 0.297)
Tl (0.319, 0.319, 0.638)
Tl (0.000, 0.500, 0.000)
Tl (0.681, 0.681, 0.362)
Tl (0.351, 0.851, 0.703)
Ho (0.830, 0.565, 0.660)
Ho (0.830, 0.095, 0.660)
Ho (0.500, 0.724, 0.000)
Ho (0.500, 0.276, 0.000)
Ho (0.170, 0.905, 0.340)
Ho (0.170, 0.435, 0.340)
Pm (0.000, 0.000, 0.000)


# 7
RbPmMgI6 | GGA-PBE | relaxed

Computed properties:
The calculation puts the raw formation energy at -1.304 eV per atom.

Unit cell a=7.860 b=7.860 c=16.386 alpha=90.00 beta=90.00 gamma=120.00
Atoms (fractional coordinates):
Rb (0.000, 0.000, 0.000)
Rb (0.000, 0.000, 0.500)
Pm (0.333, 0.667, 0.250)
Pm (0.667, 0.333, 0.750)
Mg (0.667, 0.333, 0.250)
Mg (0.333, 0.667, 0.750)
I (0.636, 0.621, 0.143)
I (0.985, 0.364, 0.143)
I (0.364, 0.985, 0.643)
I (0.015, 0.636, 0.857)
I (0.379, 0.364, 0.357)
I (0.985, 0.621, 0.357)
I (0.621, 0.985, 0.857)
I (0.636, 0.015, 0.357)
I (0.015, 0.379, 0.643)
I (0.379, 0.015, 0.143)
I (0.621, 0.636, 0.643)
I (0.364, 0.379, 0.857)


# 8
ErMg9Ag3 | GGA-PBE | relaxed

Computed properties:
For the total energy, the calculation gives -29.212 eV/cell.

Unit cell a=5.598 b=7.589 c=7.590 alpha=82.31 beta=68.36 gamma=68.72
Atoms (fractional coordinates):
Er (0.000, 0.000, 0.000)
Mg (0.705, 0.792, 0.785)
Mg (0.295, 0.208, 0.215)
Mg (0.510, 0.208, 0.785)
Mg (0.490, 0.792, 0.215)
Mg (0.651, 0.339, 0.353)
Mg (0.349, 0.661, 0.647)
Mg (0.996, 0.661, 0.353)
Mg (0.004, 0.339, 0.647)
Mg (0.000, 0.500, 0.000)
Ag (0.500, 0.500, 0.000)
Ag (0.000, 0.000, 0.500)
Ag (0.500, 0.000, 0.500)


# 9
Tb2YPt | GGA-PBE | relaxed

Computed properties:
The distance to the lowest polymorph of the same formula comes out at 0.54 eV/f.u.

Unit cell a=3.597 b=3.597 c=8.432 alpha=90.00 beta=90.00 gamma=90.00
Atoms (fractional coordinates):
Y (0.500, 0.500, 0.500)
Tb (0.000, 0.000, 0.805)
Tb (0.000, 0.000, 0.195)
Pt (0.500, 0.500, 0.000)


# 10
Er4Te3H | GGA-PBE | relaxed

Computed properties:
For the total energy, the calculation gives -75.856 eV/cell.

Unit cell a=6.027 b=8.097 c=9.398 alpha=90.00 beta=90.00 gamma=90.00
Atoms (fractional coordinates):
Er (0.084, 0.875, 0.000)
Er (0.571, 0.124, 0.000)
Er (0.085, 0.258, 0.190)
Er (0.585, 0.742, 0.310)
Er (0.071, 0.876, 0.500)
Er (0.584, 0.125, 0.500)
Er (0.585, 0.742, 0.690)
Er (0.085, 0.258, 0.810)
Te (0.586, 0.760, 0.000)
Te (0.086, 0.640, 0.259)
Te (0.586, 0.360, 0.241)
Te (0.086, 0.240, 0.500)
Te (0.586, 0.360, 0.759)
Te (0.086, 0.640, 0.741)
H (0.931, 0.132, 0.000)
H (0.431, 0.868, 0.500)


# 11
SrMgTeW2 | GGA-PBE | relaxed

Computed properties:
The calculation puts the raw formation energy at 1.762 eV per atom.

Unit cell a=4.862 b=4.862 c=5.461 alpha=90.00 beta=90.00 gamma=90.00
Atoms (fractional coordinates):
Sr (0.500, 0.500, 0.500)
Mg (0.000, 0.000, 0.000)
Te (0.000, 0.000, 0.500)
W (0.000, 0.500, 0.000)
W (0.500, 0.000, 0.000)


# 12
MnRe3N | GGA-PBE | relaxed

Computed properties:
The distance to the lowest polymorph of the same formula comes out at 11.84 eV/f.u. The calculation puts the raw formation energy at 2.738 eV per atom.

Unit cell a=4.391 b=4.391 c=4.391 alpha=90.00 beta=90.00 gamma=90.00
Atoms (fractional coordinates):
Re (0.000, 0.500, 0.000)
Re (0.000, 0.000, 0.500)
Re (0.500, 0.000, 0.000)
Mn (0.000, 0.000, 0.000)
N (0.500, 0.500, 0.500)


# 13
Zn3GaNi | GGA-PBE | relaxed

Computed properties:
The distance to the lowest polymorph of the same formula comes out at 1.07 eV/f.u.

Unit cell a=4.595 b=4.595 c=4.595 alpha=90.00 beta=90.00 gamma=90.00
Atoms (fractional coordinates):
Ni (0.000, 0.000, 0.000)
Zn (0.000, 0.500, 0.000)
Zn (0.000, 0.000, 0.500)
Zn (0.500, 0.000, 0.000)
Ga (0.500, 0.500, 0.500)


# 14
Pr2SmDyPt2 | GGA-PBE | relaxed

Computed properties:
For the total energy, the calculation gives -71.531 eV/cell.

Unit cell a=6.882 b=6.887 c=8.659 alpha=113.43 beta=113.42 gamma=90.00
Atoms (fractional coordinates):
Pr (0.692, 0.912, 0.384)
Pr (0.192, 0.472, 0.384)
Pr (0.808, 0.528, 0.616)
Pr (0.308, 0.088, 0.616)
Sm (0.250, 0.000, 0.000)
Sm (0.750, 0.000, 0.000)
Dy (0.750, 0.500, 0.000)
Dy (0.250, 0.500, 0.000)
Pt (0.390, 0.626, 0.780)
Pt (0.610, 0.374, 0.220)
Pt (0.110, 0.846, 0.220)
Pt (0.890, 0.154, 0.780)


# 15
CeSc5Al3 | GGA-PBE | relaxed

Computed properties:
For the total energy, the calculation gives -103.245 eV/cell.

Unit cell a=6.167 b=8.606 c=8.606 alpha=120.00 beta=90.00 gamma=90.00
Each line ends with the local moment (μB).
Atoms (fractional coordinates):
Ce (0.000, 0.000, 0.000)  0.29
Ce (0.500, 0.000, 0.000)  0.29
Sc (0.000, 0.667, 0.333)  0.01
Sc (0.500, 0.333, 0.667)  0.01
Sc (0.000, 0.333, 0.667)  0.01
Sc (0.500, 0.667, 0.333)  0.01
Sc (0.750, 0.668, 0.668)  0.02
Sc (0.750, 0.000, 0.332)  0.02
Sc (0.750, 0.332, 0.000)  0.02
Sc (0.250, 0.332, 0.332)  0.02
Sc (0.250, 0.000, 0.668)  0.02
Sc (0.250, 0.668, 0.000)  0.02
Al (0.750, 0.341, 0.341)  0.00
Al (0.750, 0.000, 0.659)  0.00
Al (0.750, 0.659, 0.000)  0.00
Al (0.250, 0.659, 0.659)  0.00
Al (0.250, 0.000, 0.341)  0.00
Al (0.250, 0.341, 0.000)  0.00


# 16
YSi2 | GGA-PBE | relaxed

Computed properties:
The calculation puts the raw formation energy at -0.522 eV per atom.

Unit cell a=3.985 b=4.085 c=4.085 alpha=120.00 beta=90.00 gamma=90.00
Atoms (fractional coordinates):
Si (0.000, 0.333, 0.667)
Si (0.000, 0.667, 0.333)
Y (0.500, 0.000, 0.000)


# 17
ZrGaSCl2 | GGA-PBE | relaxed

Computed properties:
The distance to the lowest polymorph of the same formula comes out at 0.00 eV/f.u. The calculation puts the raw formation energy at -1.006 eV per atom.

Unit cell a=5.084 b=5.084 c=5.024 alpha=90.00 beta=90.00 gamma=90.00
Atoms (fractional coordinates):
S (0.000, 0.000, 0.500)
Ga (0.500, 0.500, 0.500)
Zr (0.000, 0.000, 0.000)
Cl (0.000, 0.500, 0.000)
Cl (0.500, 0.000, 0.000)


# 18
ZrCuBr | GGA-PBE | relaxed

Computed properties:
The distance to the lowest polymorph of the same formula comes out at 1.11 eV/f.u. The calculation puts the raw formation energy at 0.088 eV per atom.

Unit cell a=4.653 b=4.653 c=3.225 alpha=90.00 beta=90.00 gamma=120.00
Atoms (fractional coordinates):
Br (0.000, 0.000, 0.834)
Cu (0.333, 0.667, 0.333)
Zr (0.667, 0.333, 0.833)


# 19
BaSr3Ir | GGA-PBE | relaxed

Computed properties:
The distance to the lowest polymorph of the same formula comes out at 0.41 eV/f.u.

Unit cell a=6.042 b=6.042 c=6.042 alpha=96.71 beta=96.71 gamma=96.71
Atoms (fractional coordinates):
Sr (0.956, 0.515, 0.956)
Sr (0.515, 0.956, 0.956)
Sr (0.956, 0.956, 0.515)
Ir (0.045, 0.045, 0.045)
Ba (0.403, 0.403, 0.403)


# 20
Ac2Pr4Nd2Dy | GGA-PBE | relaxed

Computed properties:
For the total energy, the calculation gives -41.202 eV/cell.

Unit cell a=3.787 b=9.945 c=10.117 alpha=115.17 beta=90.00 gamma=100.98
Atoms (fractional coordinates):
Ac (0.854, 0.708, 0.333)
Ac (0.146, 0.292, 0.667)
Pr (0.816, 0.632, 0.670)
Pr (0.184, 0.368, 0.330)
Pr (0.518, 0.035, 0.318)
Pr (0.482, 0.965, 0.682)
Nd (0.336, 0.671, 0.997)
Nd (0.664, 0.329, 0.003)
Dy (0.000, 0.000, 0.000)


# 21
YMg4P | GGA-PBE | relaxed

Computed properties:
For the total energy, the calculation gives -17.288 eV/cell.

Unit cell a=5.826 b=5.826 c=5.826 alpha=60.00 beta=60.00 gamma=60.00
Atoms (fractional coordinates):
Y (0.000, 0.000, 0.000)
Mg (0.875, 0.375, 0.375)
Mg (0.375, 0.375, 0.875)
Mg (0.375, 0.875, 0.375)
Mg (0.375, 0.375, 0.375)
P (0.750, 0.750, 0.750)


# 22
Ni4GeB | GGA-PBE | relaxed

Computed properties:
The distance to the lowest polymorph of the same formula comes out at 0.00 eV/f.u.

Unit cell a=4.231 b=5.877 c=5.877 alpha=112.51 beta=100.62 gamma=100.62
Atoms (fractional coordinates):
Ni (0.852, 0.639, 0.797)
Ni (0.065, 0.942, 0.281)
Ni (0.648, 0.203, 0.361)
Ni (0.435, 0.719, 0.058)
Ni (0.565, 0.281, 0.942)
Ni (0.352, 0.797, 0.639)
Ni (0.935, 0.058, 0.719)
Ni (0.148, 0.361, 0.203)
Ge (0.750, 0.628, 0.372)
Ge (0.250, 0.372, 0.628)
B (0.250, 0.003, 0.997)
B (0.750, 0.997, 0.003)


# 23
RbSb2Se | GGA-PBE | relaxed

Computed properties:
The calculation puts the raw formation energy at -0.457 eV per atom.

Unit cell a=5.157 b=5.595 c=11.226 alpha=88.75 beta=88.49 gamma=76.32
Atoms (fractional coordinates):
Rb (0.162, 0.547, 0.451)
Rb (0.599, 0.006, 0.705)
Sb (0.126, 0.380, 0.147)
Sb (0.882, 0.086, 0.005)
Sb (0.574, 0.961, 0.208)
Sb (0.341, 0.658, 0.965)
Se (0.752, 0.117, 0.398)
Se (0.189, 0.577, 0.755)


# 24
LiScCr3 | GGA-PBE | relaxed

Computed properties:
The distance to the lowest polymorph of the same formula comes out at 2.47 eV/f.u.

Unit cell a=4.757 b=4.757 c=4.757 alpha=90.00 beta=90.00 gamma=90.00
Each line ends with the local moment (μB).
Atoms (fractional coordinates):
Sc (0.000, 0.000, 0.000)  -0.15
Cr (0.000, 0.500, 0.000)  3.10
Cr (0.000, 0.000, 0.500)  2.74
Cr (0.500, 0.000, 0.000)  3.55
Li (0.500, 0.500, 0.500)  -0.01


no.,spin magnetization (μB per cell)
1,0.2
2,2.2
3,0.0
4,0.0
5,11.2
6,0.0
7,0.0
8,0.0
9,0.0
10,0.0
11,0.0
12,0.0
13,0.0
14,0.0
15,0.9
16,0.0
17,0.0
18,0.0
19,0.0
20,0.0
21,0.0
22,0.0
23,0.0
24,10.0